VASP calculation (PBE-GGA) on Pm2Pr5Tm after structural relaxation.

Structure (POSCAR):
```
Pm2Pr5Tm
1.0
7.3209 0.0000 0.0000
0.0000 14.6999 0.0000
0.0000 0.0000 5.1915
Pm Pr Tm
4 10 2
Direct
0.2504 0.1234 0.0000
0.2496 0.6234 0.0000
0.7504 0.3766 0.0000
0.7496 0.8766 0.0000
0.0000 0.0000 0.5000
0.0007 0.7478 0.5000
0.2480 0.3765 0.0000
0.2520 0.8765 0.0000
0.4993 0.2478 0.5000
0.5000 0.5000 0.5000
0.5007 0.7522 0.5000
0.7480 0.1235 0.0000
0.7520 0.6235 0.0000
0.9993 0.2522 0.5000
0.0000 0.5000 0.5000
0.5000 0.0000 0.5000
```

Computed properties:
ΔH_f (0 K) (eV/atom): 0.015
Energy above the most stable polymorph in this dataset (eV per atom): 0.000
Total magnetic moment (Bohr magnetons per cell): 0.00



VASP calculation (PBE-GGA) on PrAlCuPt2 after structural relaxation.

Structure (POSCAR):
```
PrAlCuPt2
1.0
-2.0024 2.0024 5.9641
2.0024 -2.0024 5.9641
2.0024 2.0024 -5.9641
Pr Al Cu Pt
1 1 1 2
Direct
0.0000 0.0000 0.0000
0.7500 0.2500 0.5000
0.2500 0.7500 0.5000
0.3845 0.3845 0.0000
0.6155 0.6155 0.0000
```

Computed properties:
ΔH_f (0 K) (eV/atom): -0.845
Total magnetic moment (Bohr magnetons per cell): 0.00



VASP calculation (PBE-GGA) on NdErMgMn after structural relaxation.

Structure (POSCAR):
```
NdErMgMn
1.0
0.0000 3.7049 3.7049
3.7049 0.0000 3.7049
3.7049 3.7049 0.0000
Nd Er Mg Mn
1 1 1 1
Direct
0.0000 0.0000 0.0000
0.5000 0.5000 0.5000
0.2500 0.2500 0.2500
0.7500 0.7500 0.7500
```

Computed properties:
ΔH_f (0 K) (eV/atom): 0.110
Total magnetic moment (Bohr magnetons per cell): 3.19